Sc2InNi at its PBEsol-relaxed geometry, computed with meta-GGA SCAN.

Cell and atoms, written as POSCAR:
```
Sc2InNi
1.0
-0.804 3.043 0.416
-1.523 -0.022 -2.786
-6.158 -2.090 3.382
Ni Sc In
1 2 1
direct
0.500 0.500 0.500
0.000 0.000 0.707
0.000 0.000 0.293
0.500 0.500 0.000
```

Results
- DOS(E_F) (states/eV per cell) = 2.2
- total energy (Ry/atom) = -1.4758
- ΔE_f (eV per atom) = -0.57
- total moment (μB/f.u.) = 0.000


ScInNi6 at its PBEsol-relaxed geometry, computed with meta-GGA SCAN.

Cell and atoms, written as POSCAR:
```
ScInNi6
1.0
-5.011 -3.615 -1.458
4.349 -0.455 -4.603
4.357 -8.020 4.909
Ni Sc In
24 4 4
direct
0.751 0.249 0.251
0.126 0.376 0.874
0.249 0.751 0.749
0.874 0.624 0.874
0.624 0.874 0.874
0.625 0.876 0.624
0.124 0.375 0.376
0.376 0.126 0.874
0.000 0.000 0.000
0.126 0.376 0.126
0.876 0.625 0.376
0.124 0.375 0.624
0.376 0.126 0.126
0.500 0.500 0.500
0.624 0.874 0.126
0.375 0.124 0.624
0.249 0.751 0.251
0.000 0.000 0.500
0.500 0.500 0.000
0.375 0.124 0.376
0.751 0.249 0.749
0.874 0.624 0.126
0.876 0.625 0.624
0.625 0.876 0.376
0.000 0.000 0.251
0.249 0.751 0.500
0.000 0.000 0.749
0.751 0.249 0.500
0.500 0.500 0.749
0.753 0.247 0.000
0.500 0.500 0.251
0.247 0.753 0.000
```

Results
- DOS(E_F) (states/eV per cell) = 19.6
- total energy (Ry/atom) = -1.3433
- ΔE_f (eV per atom) = -0.19
- total moment (μB/f.u.) = 1.598


Sc2InNi at its PBEsol-relaxed geometry, computed with meta-GGA SCAN.

Cell and atoms, written as POSCAR:
```
Sc2InNi
1.0
3.250 0.000 0.000
1.625 2.815 0.000
1.625 0.938 8.757
In Ni Sc
1 1 2
direct
0.513 0.513 0.460
0.251 0.251 0.247
0.983 0.983 0.051
0.753 0.753 0.742
```

Results
- DOS(E_F) (states/eV per cell) = 3.5
- total energy (Ry/atom) = -1.4383
- ΔE_f (eV per atom) = -0.06
- total moment (μB/f.u.) = 0.741


Sc2InNi2 at its PBEsol-relaxed geometry, computed with meta-GGA SCAN.

Cell and atoms, written as POSCAR:
```
Sc2InNi2
1.0
3.304 0.000 0.000
0.000 7.062 0.000
0.000 0.000 7.062
Ni In Sc
4 2 4
direct
0.000 0.877 0.623
0.000 0.377 0.877
0.000 0.123 0.377
0.000 0.623 0.123
0.000 0.000 0.000
0.000 0.500 0.500
0.500 0.829 0.329
0.500 0.171 0.671
0.500 0.671 0.829
0.500 0.329 0.171
```

Results
- DOS(E_F) (states/eV per cell) = 6.3
- total energy (Ry/atom) = -1.4277
- ΔE_f (eV per atom) = -0.58
- total moment (μB/f.u.) = 0.000